# 1
FeSbP2 PBE relaxed; formation energy from raw total energies = 0.35 eV/atom; total moment = 0.16 μB per formula unit
1.0
-1.429 2.611 4.587
1.429 -2.611 4.587
1.429 2.611 -4.587
Fe Sb P
1 1 2
Direct
0.000 0.000 0.000
0.500 0.500 0.000
0.188 0.688 0.500
0.812 0.312 0.500

=====

# 2
Fe2SbP PBE relaxed; formation energy from raw total energies = 0.01 eV/atom; total moment = 2.39 μB per formula unit
1.0
3.211 0.000 0.000
0.000 3.211 0.000
0.000 0.000 5.644
Fe Sb P
2 1 1
Direct
0.000 0.000 0.000
0.500 0.500 0.302
0.500 0.500 0.778
0.000 0.000 0.385

=====

# 3
FeSb2P PBE relaxed; formation energy from raw total energies = 0.55 eV/atom; total moment = 2.67 μB per formula unit
1.0
3.170 -3.637 0.000
3.170 3.637 0.000
0.000 0.000 3.392
Fe Sb P
1 2 1
Direct
0.000 0.000 0.000
0.000 0.500 0.500
0.500 0.000 0.500
0.500 0.500 0.000

=====

# 4
Fe2SbP PBE relaxed; formation energy from raw total energies = 0.17 eV/atom; total moment = 2.35 μB per formula unit
1.0
3.090 0.000 0.000
0.000 3.455 0.000
-1.109 0.000 5.555
Fe Sb P
2 1 1
Direct
0.134 0.000 0.294
0.866 0.000 0.706
0.500 0.500 0.000
0.000 0.500 0.500